Entry 1:
A plane-wave DFT calculation with PBE was carried out for a relaxed structure of Be5PRu6.

Computed properties:
**Size of the total moment**: 0.00 μB/cell
**Calculated total energy**: -83.4 eV/f.u.
**Fermi-level density of states**: 0.7091 states/eV/atom
**ΔE_f**: -3.749 eV/f.u.

Cell lengths 3.9789, 5.6025, 6.2998 Å; angles 90.00, 71.56, 90.00 degrees
With the nearest neighbours (Å) after each atom.
Fractional coordinates of all 12 atoms:
Be: 0.6627 0.5000 0.6740  8 Ru 2.42-2.47
Be: 0.3244 0.0000 0.3514  8 Ru 2.37-2.51
Be: 0.0000 0.5000 0.0000  8 Ru 2.42-2.45
Be: 0.6756 0.0000 0.6486  8 Ru 2.37-2.51
Be: 0.3373 0.5000 0.3260  8 Ru 2.42-2.47
P: 0.0000 0.0000 0.0000  8 Ru 2.42-2.43
Ru: 0.8343 0.7474 0.3314  7 Be 2.37-2.47, 1 P 2.43
Ru: 0.8343 0.2526 0.3314  7 Be 2.37-2.47, 1 P 2.43
Ru: 0.5000 0.2453 0.0000  6 Be 2.42-2.51, 2 P 2.42
Ru: 0.5000 0.7547 0.0000  6 Be 2.42-2.51, 2 P 2.42
Ru: 0.1657 0.7474 0.6686  7 Be 2.37-2.47, 1 P 2.43
Ru: 0.1657 0.2526 0.6686  7 Be 2.37-2.47, 1 P 2.43

---

Entry 2:
A plane-wave DFT calculation with PBE was carried out for a relaxed structure of K3CaSb.

Computed properties:
**Size of the total moment**: 0.00 μB/cell
**Energy above the most stable polymorph in this dataset**: 0 meV/atom
**Calculated total energy**: -9.4 eV/f.u.
**Formation energy (no corrections)**: 0.01 eV/atom
**Fermi-level density of states**: 0.0967 states/eV/atom

Cell lengths 6.7635, 6.7635, 6.7635 Å; angles 90.00, 90.00, 90.00 degrees
With the nearest neighbours (Å) after each atom.
Fractional coordinates of all 5 atoms:
Sb: 0.0000 0.0000 0.0000  6 K 3.38
Ca: 0.5000 0.5000 0.5000  12 K 4.78
K: 0.0000 0.5000 0.0000  2 Sb 3.38
K: 0.0000 0.0000 0.5000  2 Sb 3.38
K: 0.5000 0.0000 0.0000  2 Sb 3.38

---

Entry 3:
A plane-wave DFT calculation with PBE was carried out for a relaxed structure of SrYTc2.

Computed properties:
**Size of the total moment**: 0.00 μB/cell
**Energy above the most stable polymorph in this dataset**: 526 meV/atom
**Calculated total energy**: -25.7 eV/f.u.
**Fermi-level density of states**: 1.3960 states/eV/atom
**ΔE_f**: 3.144 eV/f.u.

Cell lengths 3.0613, 3.0613, 9.5471 Å; angles 90.00, 90.00, 108.07 degrees
With the nearest neighbours (Å) after each atom.
Fractional coordinates of all 4 atoms:
Sr: 0.5000 0.5000 0.7500  4 Sr 3.06, 4 Tc 3.11
Tc: 0.0000 0.0000 0.0163  2 Y 2.87, 4 Tc 3.06, 2 Sr 3.11
Tc: 0.0000 0.0000 0.4837  2 Y 2.87, 4 Tc 3.06, 2 Sr 3.11
Y: 0.5000 0.5000 0.2500  4 Tc 2.87, 4 Y 3.06

---

Entry 4:
A plane-wave DFT calculation with PBE was carried out for a relaxed structure of CrPHCl2.

Computed properties:
**Size of the total moment**: 0.15 μB/cell
**Energy above the most stable polymorph in this dataset**: 583 meV/atom
**Calculated total energy**: -17.5 eV/f.u.
**Fermi-level density of states**: 1.1607 states/eV/atom

Cell lengths 4.6897, 4.6897, 3.2652 Å; angles 90.00, 90.00, 90.00 degrees
With the nearest neighbours (Å) after each atom.
Fractional coordinates of all 5 atoms:
Cr: 0.5000 0.5000 0.5000  8 Cl 2.86
H: 0.0000 0.0000 0.0000  2 P 1.63
P: 0.0000 0.0000 0.5000  2 H 1.63
Cl: 0.0000 0.5000 0.0000  2 H 2.34
Cl: 0.5000 0.0000 0.0000  2 H 2.34

---

Entry 5:
A plane-wave DFT calculation with PBE was carried out for a relaxed structure of SmEr2Lu.

Computed properties:
**Size of the total moment**: 0.01 μB/cell
**Energy above the most stable polymorph in this dataset**: 115 meV/atom
**Calculated total energy**: -17.8 eV/f.u.
**Fermi-level density of states**: 2.2233 states/eV/atom
**ΔE_f**: 0.569 eV/f.u.

Cell lengths 5.6233, 5.6233, 5.6233 Å; angles 60.00, 60.00, 60.00 degrees
With the nearest neighbours (Å) after each atom.
Fractional coordinates of all 4 atoms:
Lu: 0.0000 0.0000 0.0000  8 Er 3.44
Sm: 0.5000 0.5000 0.5000  8 Er 3.44
Er: 0.2500 0.2500 0.2500  4 Sm 3.44, 4 Lu 3.44
Er: 0.7500 0.7500 0.7500  4 Lu 3.44, 4 Sm 3.44

---

Entry 6:
A plane-wave DFT calculation with PBE was carried out for a relaxed structure of BPb.

Computed properties:
**Size of the total moment**: 0.00 μB/cell
**Energy above the most stable polymorph in this dataset**: 0 meV/atom
**Calculated total energy**: -8.8 eV/f.u.
**Fermi-level density of states**: 0.3651 states/eV/atom
**ΔE_f**: 1.622 eV/f.u.

Cell lengths 3.2378, 6.6140, 12.0041 Å; angles 90.00, 90.00, 90.00 degrees
With the nearest neighbours (Å) after each atom.
Fractional coordinates of all 12 atoms:
B: 0.0000 0.9799 0.7524  2 B 1.64
B: 0.5000 0.0201 0.7476  2 B 1.64
B: 0.5000 0.0201 0.2524  2 B 1.64
B: 0.0000 0.9799 0.2476  2 B 1.64
B: 0.0000 0.4272 0.0000  4 Pb 2.35-2.49
B: 0.5000 0.5728 0.5000  4 Pb 2.35-2.49
Pb: 0.0000 0.6322 0.8396  2 B 2.35-2.53
Pb: 0.5000 0.3678 0.6604  2 B 2.35-2.53
Pb: 0.5000 0.3678 0.3396  2 B 2.35-2.53
Pb: 0.0000 0.6322 0.1604  2 B 2.35-2.53
Pb: 0.0000 0.8596 0.5000  2 B 2.49
Pb: 0.5000 0.1404 0.0000  2 B 2.49